No. 1
Compound: K2MnPt
Source: Alexandria via LeMat-Bulk
Functional: PBE
Structure: relaxed

Unit cell a=4.967 b=4.740 c=8.169 alpha=90.00 beta=107.58 gamma=90.00
Sites, in units of the cell vectors:
K  0.131  0.000  0.262
K  0.869  0.000  0.738
Mn  0.500  0.500  0.000
Pt  0.000  0.500  0.000

## Properties
ΔE_f (meV per atom): 367
Theoretical density (g/cm3): 3.0
Calculated total energy (eV/atom): -3.98
Fermi-level density of states (states/eV/f.u.): 2.36
Total magnetic moment (μB/cell): 4.610


No. 2
Compound: KOsPt2
Source: Alexandria via LeMat-Bulk
Functional: PBE
Structure: relaxed

Unit cell a=5.600 b=5.600 c=5.600 alpha=142.99 beta=122.18 gamma=70.66
Sites, in units of the cell vectors:
K  0.000  0.000  0.000
Os  0.500  0.500  0.000
Pt  0.309  0.809  0.500
Pt  0.691  0.191  0.500

## Properties
ΔE_f (meV per atom): 920
Theoretical density (g/cm3): 11.7
Calculated total energy (eV/atom): -5.18
Fermi-level density of states (states/eV/f.u.): 5.52
Total magnetic moment (μB/cell): 1.315


Question: Among the records above, which one has the lowest calculated total energy?
Answer: KOsPt2


Question: Look up the theoretical density of the second one.
Answer: 11.7 g/cm3